DFT (PBE) results for Na5DyTl6 after structural relaxation.

Output
Its density is 7560 kg/m3. The calculation puts the formation energy at -0.136 eV per atom.

Lattice parameters (Å, degrees): 5.2470 15.7649 7.9857 90.00 90.00 90.00
Space group Cmmm (No. 65)
One atom of each set of equivalent atoms:
Na1 0.0000 0.0000 0.0000 [2 per cell]
Na2 0.0000 0.3306 0.0000 [4 per cell]
Na3 0.0000 0.3317 0.5000 [4 per cell]
Dy1 0.0000 0.0000 0.5000 [2 per cell]
Tl1 0.0000 0.1662 0.2559 [8 per cell]
Tl2 0.0000 0.5000 0.2526 [4 per cell]